# KAl4As

A relaxed KAl4As crystal (PBE-GGA, the Alexandria database).

Cell: 5.6769 5.6769 5.6769 Å, 60.00 60.00 60.00°
Closest atoms and distances in Å follow each position.
Atoms (fractional coordinates):
K: 0.0000 0.0000 0.0000  12 Al 3.33, 4 As 3.48
Al: 0.1258 0.6247 0.6247  6 Al 2.83-2.84
Al: 0.6247 0.1258 0.6247  6 Al 2.83-2.84
Al: 0.6247 0.6247 0.1258  6 Al 2.83-2.84
Al: 0.6247 0.6247 0.6247  6 Al 2.83-2.84
As: 0.2500 0.2500 0.2500  12 Al 3.33, 4 K 3.48

Computed properties:
formation energy from the elements: 0.294 eV per atom
total energy: -3.16 eV/atom